! NaSb2Pt5 (GGA-PBE, relaxed); values from VASP
! Uncorrected energy: -0.3855 Ry/atom
! Energy relative to the elements, uncorrected: -0.275 eV per atom
&SYSTEM
  ibrav = 0, nat = 16, ntyp = 3
/
ATOMIC_SPECIES
Na 22.99 Na.upf
Sb 121.76 Sb.upf
Pt 195.08 Pt.upf
CELL_PARAMETERS angstrom
3.996 0.000 0.000
0.000 7.676 0.000
0.000 0.000 10.185
ATOMIC_POSITIONS crystal
Na 0.000 0.000 0.000
Na 0.500 0.500 0.500
Sb 0.000 0.500 0.262
Sb 0.000 0.500 0.738
Sb 0.500 0.000 0.238
Sb 0.500 0.000 0.762
Pt 0.000 0.190 0.360
Pt 0.000 0.190 0.640
Pt 0.000 0.500 0.000
Pt 0.000 0.810 0.360
Pt 0.000 0.810 0.640
Pt 0.500 0.000 0.500
Pt 0.500 0.310 0.140
Pt 0.500 0.310 0.860
Pt 0.500 0.690 0.140
Pt 0.500 0.690 0.860